# CeSm2ScBi4 (GGA-PBE, relaxed)
data_CeSm2ScBi4
_chemical_formula_sum 'Ce1 Sm2 Sc1 Bi4'
_cell_length_a 7.778
_cell_length_b 4.506
_cell_length_c 7.805
_cell_angle_alpha 90.00
_cell_angle_beta 109.45
_cell_angle_gamma 90.00
_space_group_name_H-M_alt 'P 1'
_space_group_IT_number 1
loop_
_space_group_symop_operation_xyz
'x,y,z'
loop_
_atom_site_label
_atom_site_fract_x
_atom_site_fract_y
_atom_site_fract_z
_atom_site_occupancy
Ce1 0.000 0.000 0.000 1
Sm1 0.000 0.500 0.500 1
Sm2 0.500 0.000 0.500 1
Sc1 0.500 0.500 0.000 1
Bi1 0.257 0.500 0.244 1
Bi2 0.263 0.000 0.763 1
Bi3 0.737 0.000 0.237 1
Bi4 0.743 0.500 0.756 1
# final energy = -5.460 eV/atom
# crystal system = monoclinic
# Fermi-level density of states = 7.23 states/eV per cell
# volume = 257.9 Å³ per cell